Arrangement i

Compound: Mn2Fe2Co
Source: Alexandria via LeMat-Bulk
Functional: PBE-GGA
Structure: optimized geometry

abc: 2.4756 6.5784 7.0329
angles: 105.56 90.03 100.77
Last column: nearest neighbours and their distance in Å.
Space group P-1 (No. 2)
Asymmetric unit:
Mn 0.0017 0.0033 0.2460  5 Fe 2.46-2.51, 4 Co 2.46-2.47, 3 Mn 2.48-2.55
Mn 0.2042 0.4070 0.8486  3 Co 2.43-2.50, 4 Fe 2.44-2.48, 5 Mn 2.47-2.55
Fe 0.2010 0.3993 0.3481  3 Mn 2.44-2.46, 2 Co 2.48, 7 Fe 2.48-2.53
Fe 0.4019 0.8033 0.4459  6 Fe 2.45-2.53, 6 Mn 2.47-2.51
Co 0.3996 0.7977 0.9521  7 Mn 2.43-2.50, 2 Fe 2.48, 3 Co 2.48-2.52

***

Arrangement ii

Compound: Mn2Fe2Co
Source: Alexandria via LeMat-Bulk
Functional: PBE-GGA
Structure: optimized geometry

abc: 6.6204 6.6204 2.4898
angles: 90.00 90.00 90.00
Last column: nearest neighbours and their distance in Å.
Space group P4/mbm (No. 127)
Asymmetric unit:
Mn 0.1242 0.3758 0.0000  6 Fe 2.28-2.34, 3 Mn 2.33-2.49
Fe 0.1719 0.6719 0.5000  6 Mn 2.28-2.34, 2 Fe 2.49
Co 0.0000 0.0000 0.0000  2 Co 2.49, 4 Mn 2.62, 8 Fe 2.75

***

Arrangement iii

Compound: Mn2Fe2Co
Source: Alexandria via LeMat-Bulk
Functional: PBE-GGA
Structure: optimized geometry

abc: 6.5695 6.5695 2.5149
angles: 90.00 90.00 90.00
Last column: nearest neighbours and their distance in Å.
Space group P4/mbm (No. 127)
Asymmetric unit:
Mn 0.1712 0.3288 0.0000  6 Fe 2.26-2.34, 2 Mn 2.51
Fe 0.1263 0.6263 0.5000  6 Mn 2.26-2.34, 3 Fe 2.35-2.51
Co 0.0000 0.0000 0.5000  2 Co 2.51, 4 Fe 2.59, 8 Mn 2.74

***

Most favorable structure: arrangement i. The second most favorable one is 171 meV/atom above it.

***

Arrangement i

Compound: MnFeCo2
Source: Alexandria via LeMat-Bulk
Functional: PBE-GGA
Structure: optimized geometry

abc: 2.4846 4.0113 4.7104
angles: 90.00 99.28 90.00
Last column: nearest neighbours and their distance in Å.
Space group P2/m (No. 10)
Asymmetric unit:
Mn 0.0000 0.0000 0.0000  4 Co 2.47, 2 Fe 2.48, 2 Mn 2.48
Fe 0.5000 0.0000 0.5000  4 Co 2.45, 2 Mn 2.48, 2 Fe 2.48
Co 0.2591 0.5000 0.7487  2 Fe 2.45, 2 Mn 2.47, 4 Co 2.47-2.48

***

Arrangement ii

Compound: MnFeCo2
Source: Alexandria via LeMat-Bulk
Functional: PBE-GGA
Structure: optimized geometry

abc: 5.6228 5.6228 5.6228
angles: 90.00 90.00 90.00
Last column: nearest neighbours and their distance in Å.
Space group Fm-3m (No. 225)
Asymmetric unit:
Mn 0.0000 0.0000 0.0000  8 Co 2.43
Fe 0.0000 0.0000 0.5000  8 Co 2.43
Co 0.2500 0.2500 0.2500  4 Mn 2.43, 4 Fe 2.43

***

Arrangement iii

Compound: MnFeCo2
Source: Alexandria via LeMat-Bulk
Functional: PBE-GGA
Structure: optimized geometry

abc: 2.4584 2.4584 7.0529
angles: 90.00 90.00 90.00
Last column: nearest neighbours and their distance in Å.
Space group P4/mmm (No. 123)
Asymmetric unit:
Mn 0.0000 0.0000 0.0000  8 Co 2.44, 4 Mn 2.46
Fe 0.0000 0.0000 0.5000  4 Fe 2.46, 8 Co 2.51
Co 0.5000 0.5000 0.2426  4 Mn 2.44, 4 Co 2.46, 4 Fe 2.51

***

Arrangement iv

Compound: MnFeCo2
Source: Alexandria via LeMat-Bulk
Functional: PBE-GGA
Structure: optimized geometry

abc: 3.5794 3.5794 3.4619
angles: 90.00 90.00 90.00
Last column: nearest neighbours and their distance in Å.
Space group P4/mmm (No. 123)
Asymmetric unit:
Mn 0.0000 0.0000 0.0000  8 Co 2.49, 4 Fe 2.53
Fe 0.5000 0.5000 0.0000  8 Co 2.49, 4 Mn 2.53
Co 0.0000 0.5000 0.5000  4 Mn 2.49, 4 Fe 2.49, 4 Co 2.53

***

Most favorable structure: arrangement iv. The second most favorable one is 77 meV/atom above it.